1.
The following is a PBE-GGA calculation of a geometry-optimized Y4CdInO structure, from Alexandria via LeMat-Bulk.

Calculated values
For the total energy, the calculation gives -5.956 eV per atom. The formation energy (no corrections) comes out at -1032 meV per atom. As for the space-group type: No. 63.

a b c (Å): 8.7069 8.7069 6.6226
angles (deg): 90.00 90.00 135.30
Element x y z (fractional)
Y: 0.0000 0.5000 0.0000
Y: 0.0000 0.5000 0.5000
Y: 0.0772 0.9228 0.7500
Y: 0.4195 0.5805 0.7500
Y: 0.5000 0.0000 0.0000
Y: 0.5000 0.0000 0.5000
Y: 0.5805 0.4195 0.2500
Y: 0.9228 0.0772 0.2500
Cd: 0.1155 0.8845 0.2500
Cd: 0.8845 0.1155 0.7500
In: 0.3866 0.6134 0.2500
In: 0.6134 0.3866 0.7500
O: 0.2508 0.7492 0.7500
O: 0.7492 0.2508 0.2500


2.
The following is a PBE-GGA calculation of a geometry-optimized ZnCdIn4O8 structure, from Alexandria via LeMat-Bulk.

Calculated values
For the total energy, the calculation gives -5.220 eV per atom. The formation energy (no corrections) comes out at -1447 meV per atom. As for the space-group type: No. 160.

a b c (Å): 6.4446 6.4446 6.4446
angles (deg): 61.07 61.07 61.07
Element x y z (fractional)
Zn: 0.0000 0.0000 0.0000
Cd: 0.3767 0.3767 0.3767
In: 0.4924 0.9986 0.9986
In: 0.6182 0.6182 0.6182
In: 0.9986 0.4924 0.9986
In: 0.9986 0.9986 0.4924
O: 0.2186 0.7564 0.7564
O: 0.2312 0.2312 0.7878
O: 0.2312 0.7878 0.2312
O: 0.2364 0.2364 0.2364
O: 0.7544 0.7544 0.7544
O: 0.7564 0.2186 0.7564
O: 0.7564 0.7564 0.2186
O: 0.7878 0.2312 0.2312


3.
The following is a PBE-GGA calculation of a geometry-optimized CdIn2Os structure, from Alexandria via LeMat-Bulk.

Calculated values
For the total energy, the calculation gives -3.941 eV per atom. As for the space-group type: No. 25. Its energy of formation from the pure elements is 1.9 eV per formula unit.

a b c (Å): 3.0950 5.1038 4.9804
angles (deg): 90.00 90.00 90.00
Element x y z (fractional)
Cd: 0.0000 0.0000 0.0000
In: 0.0000 0.5000 0.6928
In: 0.5000 0.0000 0.4826
Os: 0.5000 0.5000 0.1970